Entry 1:
Below is Ac2Si5Ru after structural relaxation, with properties calculated at the PBE level.

Cell: 6.013 6.013 9.507 Å, 90.00 90.00 90.00°
Space group I4mm (No. 107)
Symmetry-distinct sites (fractional):
Ac (0.000, 0.500, 0.000) (multiplicity 4)
Si (0.000, 0.000, 0.060) (multiplicity 2)
Si (0.210, 0.210, 0.252) (multiplicity 8)
Ru (0.000, 0.000, 0.803) (multiplicity 2)

Output
- Total magnetization: 0.00 μB/cell
- Uncorrected formation energy: -0.46 eV per atom

---

Entry 2:
Below is CePr2Pt9 after structural relaxation, with properties calculated at the PBE level.

Cell: 5.4680 5.4680 26.9558 Å, 90.00 90.00 120.00°
Space group R-3m (No. 166, hexagonal axes)
Symmetry-distinct sites (fractional):
Ce (0.0000, 0.0000, 0.0000) (multiplicity 3)
Pr (0.0000, 0.0000, 0.1393) (multiplicity 6)
Pt (0.0000, 0.0000, 0.3328) (multiplicity 6)
Pt (0.0000, 0.0000, 0.5000) (multiplicity 3)
Pt (0.0028, 0.5014, 0.9159) (multiplicity 18)

Output
- Total magnetization: 1.63 μB/cell
- Energy of formation: -0.902 eV/atom

---

Entry 3:
Below is Y2FeReW after structural relaxation, with properties calculated at the PBE level.

Cell: 5.066 5.066 4.370 Å, 90.00 90.00 90.00°
Space group P4/mmm (No. 123)
Symmetry-distinct sites (fractional):
Y (0.000, 0.500, 0.000) (multiplicity 2)
Fe (0.000, 0.000, 0.000) (multiplicity 1)
Re (0.000, 0.000, 0.500) (multiplicity 1)
W (0.500, 0.500, 0.500) (multiplicity 1)

Output
- Total magnetization: 2.41 μB/cell
- Energy of formation: 1.121 eV/atom

---

Entry 4:
Below is Na2MgAsS after structural relaxation, with properties calculated at the PBE level.

Cell: 5.133 5.133 4.775 Å, 90.00 90.00 90.00°
Space group P4/mmm (No. 123)
Symmetry-distinct sites (fractional):
Na (0.000, 0.500, 0.000) (multiplicity 2)
Mg (0.000, 0.000, 0.500) (multiplicity 1)
As (0.500, 0.500, 0.500) (multiplicity 1)
S (0.000, 0.000, 0.000) (multiplicity 1)

Output
- Total magnetization: 1.00 μB/cell
- Uncorrected formation energy: -0.44 eV per atom

---

Entry 5:
Below is TaCuRe after structural relaxation, with properties calculated at the PBE level.

Cell: 5.853 5.853 5.853 Å, 90.00 90.00 90.00°
Space group F-43m (No. 216)
Symmetry-distinct sites (fractional):
Ta (0.000, 0.000, 0.000) (multiplicity 4)
Cu (0.250, 0.250, 0.250) (multiplicity 4)
Re (0.000, 0.000, 0.500) (multiplicity 4)

Output
- Total magnetization: 0.00 μB/cell
- Energy of formation: 0.719 eV/atom
- Energy above the most stable polymorph in this dataset: 638 meV per atom

---

Entry 6:
Below is Ca2Be4PdPt3 after structural relaxation, with properties calculated at the PBE level.

Cell: 4.032 4.032 9.521 Å, 90.00 90.00 90.00°
Space group P-4m2 (No. 115)
Symmetry-distinct sites (fractional):
Ca (0.000, 0.500, 0.248) (multiplicity 2)
Be (0.000, 0.000, 0.000) (multiplicity 1)
Be (0.000, 0.500, 0.624) (multiplicity 2)
Be (0.500, 0.500, 0.000) (multiplicity 1)
Pd (0.000, 0.000, 0.500) (multiplicity 1)
Pt (0.000, 0.500, 0.875) (multiplicity 2)
Pt (0.500, 0.500, 0.500) (multiplicity 1)

Output
- Total magnetization: 0.00 μB/cell
- Energy of formation: -0.735 eV/atom